Entry from the Alexandria database: a relaxed structure of Tb6Pm2Ho3 (PBE).

Unit cell a=16.986 b=16.986 c=16.986 alpha=163.97 beta=163.97 gamma=22.74
Fractional positions:
Tb 0.122 0.622 0.500
Tb 0.197 0.197 0.000
Tb 0.378 0.878 0.500
Tb 0.622 0.122 0.500
Tb 0.803 0.803 0.000
Tb 0.878 0.378 0.500
Pm 0.046 0.046 0.000
Pm 0.954 0.954 0.000
Ho 0.300 0.300 0.000
Ho 0.500 0.500 0.000
Ho 0.700 0.700 0.000

- Crystal system: tetragonal
- Distance to the lowest polymorph of the same formula: 95 meV per atom
- ΔH_f (0 K): 0.275 eV/atom
- SG: I4/mmm
- Size of the total moment: 0.00 μB per formula unit